Entry 1:
Computed, not measured: an optimized crystal structure of HfBeGeOs at the GGA-PBE level of DFT.

Values from the calculation:
E: -7.481 eV per atom

a = 4.3748 Å, b = 4.3748 Å, c = 4.3748 Å
α = 60.00°, β = 60.00°, γ = 60.00°
With the nearest neighbours (Å) after each atom.
Sites, in units of the cell vectors:
Hf 0.0000 0.0000 0.0000  4 Be 2.68, 4 Os 2.68
Be 0.7500 0.7500 0.7500  4 Ge 2.68, 4 Hf 2.68
Ge 0.5000 0.5000 0.5000  4 Be 2.68, 4 Os 2.68
Os 0.2500 0.2500 0.2500  4 Hf 2.68, 4 Ge 2.68

Entry 2:
Computed, not measured: an optimized crystal structure of TaSiAsO at the GGA-PBE level of DFT.

Values from the calculation:
E: -7.270 eV per atom

a = 3.5975 Å, b = 5.7402 Å, c = 5.7639 Å
α = 90.00°, β = 90.00°, γ = 90.00°
With the nearest neighbours (Å) after each atom.
Sites, in units of the cell vectors:
Ta 0.0000 0.0098 0.0000  2 O 2.23-2.25
Ta 0.0000 0.9902 0.5000  2 O 2.23-2.25
Si 0.5000 0.2947 0.2676  2 O 1.80
Si 0.5000 0.7053 0.7676  2 O 1.80
As 0.5000 0.2743 0.7631  1 Si 2.47, 2 Ta 2.72
As 0.5000 0.7257 0.2631  1 Si 2.47, 2 Ta 2.72
O 0.0000 0.2975 0.2644  2 Si 1.80
O 0.0000 0.7025 0.7644  2 Si 1.80

Entry 3:
Computed, not measured: an optimized crystal structure of Rb2Os at the GGA-PBE level of DFT.

Values from the calculation:
E: -2.211 eV per atom

a = 6.5362 Å, b = 6.5362 Å, c = 6.5362 Å
α = 60.00°, β = 60.00°, γ = 60.00°
With the nearest neighbours (Å) after each atom.
Sites, in units of the cell vectors:
Rb 0.0000 0.0000 0.0000  6 Rb 3.27
Rb 0.0000 0.0000 0.5000  6 Rb 3.27
Rb 0.0000 0.5000 0.0000  6 Rb 3.27
Rb 0.5000 0.0000 0.0000  6 Rb 3.27
Os 0.3750 0.3750 0.3750  12 Rb 3.83, 4 Os 4.00
Os 0.6250 0.6250 0.6250  12 Rb 3.83, 4 Os 4.00

Entry 4:
Computed, not measured: an optimized crystal structure of HfZnFeAs at the GGA-PBE level of DFT.

Values from the calculation:
E: -6.073 eV per atom

a = 4.4390 Å, b = 4.4390 Å, c = 4.4390 Å
α = 60.00°, β = 60.00°, γ = 60.00°
With the nearest neighbours (Å) after each atom.
Sites, in units of the cell vectors:
Hf 0.0000 0.0000 0.0000  4 Zn 2.72, 4 As 2.72
Zn 0.7500 0.7500 0.7500  4 Hf 2.72, 4 Fe 2.72
Fe 0.5000 0.5000 0.5000  4 Zn 2.72, 4 As 2.72
As 0.2500 0.2500 0.2500  4 Hf 2.72, 4 Fe 2.72

Sequential distance to the lowest polymorph of the same formula output: 44, 156, 115, 0 meV per atom